--- i ---
This record from Alexandria via LeMat-Bulk describes an optimized crystal structure of CaPmMgZn. The functional is PBE. Values from VASP.

Structure (Quantum ESPRESSO input):
```
&SYSTEM
  ibrav = 0, nat = 4, ntyp = 4
/
ATOMIC_SPECIES
Pm 145.00 Pm.upf
Mg 24.30 Mg.upf
Ca 40.08 Ca.upf
Zn 65.41 Zn.upf
ATOMIC_POSITIONS angstrom
Pm -2.639 -8.403 -4.343
Mg -1.759 -5.602 -2.895
Ca -0.880 -2.801 -1.448
Zn 0.000 0.000 0.000
CELL_PARAMETERS angstrom
-3.646 -2.335 -3.135
1.492 -3.768 -3.486
-1.365 -5.101 0.830
```

Calculated values
- space-group type = F-43m, No. 216

--- ii ---
This record from Alexandria via LeMat-Bulk describes an optimized crystal structure of CaPmMgZn. The functional is PBE. Values from VASP.

Structure (Quantum ESPRESSO input):
```
&SYSTEM
  ibrav = 0, nat = 4, ntyp = 4
/
ATOMIC_SPECIES
Zn 65.41 Zn.upf
Ca 40.08 Ca.upf
Mg 24.30 Mg.upf
Pm 145.00 Pm.upf
ATOMIC_POSITIONS angstrom
Zn -1.550 -0.988 2.100
Ca 4.141 -1.530 5.360
Mg 0.732 -1.830 5.052
Pm 1.549 -0.572 2.005
CELL_PARAMETERS angstrom
-2.395 1.662 2.325
-1.795 -3.235 0.464
4.700 -1.736 6.083
```

Calculated values
- space-group type = P4mm, No. 99

Quick one: most stable of them? ii

--- i ---
This record from Alexandria via LeMat-Bulk describes an optimized crystal structure of Ca2PrMg. The functional is PBE. Values from VASP.

Structure (Quantum ESPRESSO input):
```
&SYSTEM
  ibrav = 0, nat = 4, ntyp = 3
/
ATOMIC_SPECIES
Ca 40.08 Ca.upf
Pr 140.91 Pr.upf
Mg 24.30 Mg.upf
ATOMIC_POSITIONS angstrom
Ca 0.000 0.000 1.806
Ca 0.000 0.000 6.050
Pr 2.105 2.105 3.928
Mg 2.105 2.105 0.000
CELL_PARAMETERS angstrom
4.210 0.000 0.000
0.000 4.210 0.000
0.000 0.000 7.856
```

Calculated values
- space-group type = P4/mmm, No. 123

--- ii ---
This record from Alexandria via LeMat-Bulk describes an optimized crystal structure of Ca2PrMg. The functional is PBE. Values from VASP.

Structure (Quantum ESPRESSO input):
```
&SYSTEM
  ibrav = 0, nat = 8, ntyp = 3
/
ATOMIC_SPECIES
Mg 24.30 Mg.upf
Ca 40.08 Ca.upf
Pr 140.91 Pr.upf
ATOMIC_POSITIONS angstrom
Mg 3.897 1.342 -1.482
Mg 1.013 3.995 -1.482
Ca 2.625 -0.039 4.286
Ca -0.257 2.612 4.286
Ca 4.173 4.536 -0.448
Ca 0.649 0.706 7.537
Pr 1.711 1.860 1.008
Pr 3.111 3.382 6.081
CELL_PARAMETERS angstrom
5.337 0.017 -1.482
-0.427 5.320 -1.482
-0.087 -0.095 10.053
```

Calculated values
- space-group type = I4/mmm, No. 139

Quick one: most stable of them? ii

--- i ---
This record from Alexandria via LeMat-Bulk describes an optimized crystal structure of Ca2PrMg. The functional is PBE. Values from VASP.

Structure (Quantum ESPRESSO input):
```
&SYSTEM
  ibrav = 0, nat = 4, ntyp = 3
/
ATOMIC_SPECIES
Ca 40.08 Ca.upf
Pr 140.91 Pr.upf
Mg 24.30 Mg.upf
ATOMIC_POSITIONS angstrom
Ca 0.000 0.000 2.525
Ca 0.000 2.525 0.000
Pr 2.742 2.525 2.525
Mg 2.742 0.000 0.000
CELL_PARAMETERS angstrom
5.485 0.000 0.000
0.000 5.051 0.000
0.000 0.000 5.051
```

Calculated values
- space-group type = P4/mmm, No. 123

--- ii ---
This record from Alexandria via LeMat-Bulk describes an optimized crystal structure of Ca2PrMg. The functional is PBE. Values from VASP.

Structure (Quantum ESPRESSO input):
```
&SYSTEM
  ibrav = 0, nat = 4, ntyp = 3
/
ATOMIC_SPECIES
Ca 40.08 Ca.upf
Pr 140.91 Pr.upf
Mg 24.30 Mg.upf
ATOMIC_POSITIONS angstrom
Ca -6.456 2.816 5.962
Ca -3.253 0.610 1.078
Pr -6.701 1.355 2.455
Mg -3.710 -0.704 -2.104
CELL_PARAMETERS angstrom
-2.696 1.193 -2.307
-2.862 -2.255 -0.859
-7.855 3.779 8.094
```

Calculated values
- space-group type = R3m, No. 160

--- iii ---
This record from Alexandria via LeMat-Bulk describes an optimized crystal structure of Ca2PrMg. The functional is PBE. Values from VASP.

Structure (Quantum ESPRESSO input):
```
&SYSTEM
  ibrav = 0, nat = 4, ntyp = 3
/
ATOMIC_SPECIES
Pr 140.91 Pr.upf
Ca 40.08 Ca.upf
Mg 24.30 Mg.upf
ATOMIC_POSITIONS angstrom
Pr 0.000 0.000 0.000
Ca -0.523 1.874 2.972
Ca -1.570 5.621 8.915
Mg -1.047 3.747 5.944
CELL_PARAMETERS angstrom
-1.724 5.110 2.135
-2.912 0.216 5.012
2.543 2.169 4.741
```

Calculated values
- space-group type = Fm-3m, No. 225

Quick one: most stable of them? i